# PBE LiInPtBr, relaxed
# ΔE_f (raw)   -0.66 eV/atom
# Theoretical density   7.59 g/cm³
data_LiInPtBr
_symmetry_space_group_name_H-M 'P 1'
_symmetry_Int_Tables_number 1
_cell_length_a 3.5612
_cell_length_b 3.5621
_cell_length_c 7.2746
_cell_angle_alpha 75.94
_cell_angle_beta 76.33
_cell_angle_gamma 89.99
loop_
_symmetry_equiv_pos_as_xyz
'x,y,z'
loop_
_atom_site_label
_atom_site_type_symbol
_atom_site_fract_x
_atom_site_fract_y
_atom_site_fract_z
Li1 Li 0.0000 0.0000 0.0000
In1 In 0.7668 0.7757 0.4383
Pt1 Pt 0.3335 0.3446 0.2991
Br1 Br 0.5655 0.5686 0.8602

***

# PBE LiInPtBr, relaxed
# ΔE_f (raw)   -0.61 eV/atom
# Theoretical density   6.57 g/cm³
data_LiInPtBr
_symmetry_space_group_name_H-M 'R 3 m'
_symmetry_Int_Tables_number 160
_symmetry_space_group_name_Hall 'R 3 -2"'
_cell_length_a 4.1314
_cell_length_b 4.1314
_cell_length_c 20.3437
_cell_angle_alpha 90.00
_cell_angle_beta 90.00
_cell_angle_gamma 120.00
loop_
_atom_site_label
_atom_site_type_symbol
_atom_site_fract_x
_atom_site_fract_y
_atom_site_fract_z
Li1 Li 0.0000 0.0000 0.0000
In1 In 0.0000 0.0000 0.5359
Pt1 Pt 0.0000 0.0000 0.2568
Br1 Br 0.0000 0.0000 0.3887

***

Number 2 is which compound?
LiInPtBr

***

Among the records above, which one has the highest theoretical density?
number 1

***

What is the formula in the second record?
LiInPtBr

***

Which formula does entry 2 have?
LiInPtBr